This record from the Alexandria database describes TbDySe after structural relaxation. The functional is PBE-GGA.

The structure in CIF format:
```
data_TbDySe
_cell_length_a 3.8540
_cell_length_b 3.8540
_cell_length_c 6.5591
_cell_angle_alpha 90.00
_cell_angle_beta 90.00
_cell_angle_gamma 120.00
_space_group_name_H-M_alt 'P 3 m 1'
_space_group_IT_number 156
loop_
_space_group_symop_operation_xyz
'x,y,z'
'-y,x-y,z'
'-x+y,-x,z'
'-y,-x,z'
'-x+y,y,z'
'x,x-y,z'
loop_
_atom_site_label
_atom_site_type_symbol
_atom_site_fract_x
_atom_site_fract_y
_atom_site_fract_z
Tb1 Tb 0.0000 0.0000 0.0000
Dy1 Dy 0.3333 0.6667 0.5593
Se1 Se 0.6667 0.3333 0.2811
```



This record from the Alexandria database describes Co4Ru after structural relaxation. The functional is PBE-GGA.

The structure in CIF format:
```
data_Co4Ru
_cell_length_a 3.4141
_cell_length_b 3.4141
_cell_length_c 10.6960
_cell_angle_alpha 90.00
_cell_angle_beta 90.00
_cell_angle_gamma 90.00
_space_group_name_H-M_alt 'I 4/m m m'
_space_group_IT_number 139
_space_group_name_Hall '-I 4 2'
loop_
_atom_site_label
_atom_site_type_symbol
_atom_site_fract_x
_atom_site_fract_y
_atom_site_fract_z
Co1 Co 0.0000 0.0000 0.1017
Co2 Co 0.0000 0.5000 0.2500
Ru1 Ru 0.0000 0.0000 0.5000
```



This record from the Alexandria database describes La2AlSi after structural relaxation. The functional is PBE-GGA.

The structure in CIF format:
```
data_La2AlSi
_cell_length_a 4.9464
_cell_length_b 4.9464
_cell_length_c 4.2355
_cell_angle_alpha 90.00
_cell_angle_beta 90.00
_cell_angle_gamma 90.00
_space_group_name_H-M_alt 'P 4/m m m'
_space_group_IT_number 123
_space_group_name_Hall '-P 4 2'
loop_
_atom_site_label
_atom_site_type_symbol
_atom_site_fract_x
_atom_site_fract_y
_atom_site_fract_z
La1 La 0.0000 0.5000 0.0000
Al1 Al 0.0000 0.0000 0.5000
Si1 Si 0.5000 0.5000 0.5000
```



Q: Which volume values were calculated for the entries above? A: 84.4; 124.7; 103.6, in Å³ per cell.
Q: Which calculated total energy values were calculated for the entries above? A: -0.1967; -0.2588; -0.1900, in Ha/atom.